Record 1
Computed, not measured: crystalline Sm2GeTe at its relaxed geometry at the GGA-PBE level of DFT.

* raw formation energy: -26.4 kcal/mol of atoms
* energy relative to the lowest polymorph listed for this composition: 67.4 meV per atom
* N(E_F): 0.959 states/eV/f.u.

Unit cell a=4.3027 b=4.3027 c=22.3082 alpha=90.00 beta=90.00 gamma=120.00
Space group R3m (No. 160, hexagonal axes)
Inequivalent atoms, fractional coordinates:
Sm (0.0000, 0.0000, 0.0000) [3 per cell]
Sm (0.0000, 0.0000, 0.1884) [3 per cell]
Ge (0.0000, 0.0000, 0.5953) [3 per cell]
Te (0.0000, 0.0000, 0.4263) [3 per cell]

***

Record 2
Computed, not measured: crystalline SmGeTe2 at its relaxed geometry at the GGA-PBE level of DFT.

* raw formation energy: -10.9 kcal/mol of atoms
* N(E_F): 2.180 states/eV/f.u.

Unit cell a=4.3416 b=4.3416 c=28.2253 alpha=90.00 beta=90.00 gamma=120.00
Space group R-3m (No. 166, hexagonal axes)
Inequivalent atoms, fractional coordinates:
Sm (0.0000, 0.0000, 0.0000) [3 per cell]
Ge (0.0000, 0.0000, 0.5000) [3 per cell]
Te (0.0000, 0.0000, 0.3989) [6 per cell]

***

Record 3
Computed, not measured: crystalline Sm3GeTe6 at its relaxed geometry at the GGA-PBE level of DFT.

* raw formation energy: -24.1 kcal/mol of atoms
* N(E_F): 3.371 states/eV/f.u.

Unit cell a=12.236 b=15.158 c=7.423 alpha=90.00 beta=90.00 gamma=90.00
Space group Cmc2_1 (No. 36)
Inequivalent atoms, fractional coordinates:
Sm (0.000, 0.094, 0.000) [4 per cell]
Sm (0.182, 0.404, 0.111) [8 per cell]
Ge (0.000, 0.298, 0.650) [4 per cell]
Te (0.000, 0.278, 0.273) [4 per cell]
Te (0.000, 0.466, 0.805) [4 per cell]
Te (0.163, 0.038, 0.303) [8 per cell]
Te (0.173, 0.232, 0.838) [8 per cell]

***

Q: Which formula does entry 3 have?
A: Sm3GeTe6

***

Repeat the first record exactly.
Computed, not measured: crystalline Sm2GeTe at its relaxed geometry at the GGA-PBE level of DFT.

* raw formation energy: -26.4 kcal/mol of atoms
* energy relative to the lowest polymorph listed for this composition: 67.4 meV per atom
* N(E_F): 0.959 states/eV/f.u.

Unit cell a=4.3027 b=4.3027 c=22.3082 alpha=90.00 beta=90.00 gamma=120.00
Space group R3m (No. 160, hexagonal axes)
Inequivalent atoms, fractional coordinates:
Sm (0.0000, 0.0000, 0.0000) [3 per cell]
Sm (0.0000, 0.0000, 0.1884) [3 per cell]
Ge (0.0000, 0.0000, 0.5953) [3 per cell]
Te (0.0000, 0.0000, 0.4263) [3 per cell]